Here is a relaxed structure of AcY2In2 from the Alexandria database. Energies are from GGA-PBE.

Cell: 6.658 6.777 8.336 Å, 75.87 70.77 64.39°
Space group P-1 (No. 2)
Asymmetric unit:
Ac  0.089  0.377  0.251 [2 per cell]
Y  0.290  0.975  0.919 [2 per cell]
Y  0.454  0.781  0.485 [2 per cell]
In  0.038  0.863  0.329 [2 per cell]
In  0.435  0.457  0.846 [2 per cell]

Values from the calculation:
Final energy: -4.83 eV/atom
DFT formation energy: -0.33 eV per atom